This record from the Alexandria database describes Ce3TmSc3Se8 after structural relaxation. The functional is PBE.

* SG: R-3m (166)
* magnetization: 0.242 μB per atom
* VASP energy: -6.37 eV/atom
* calculated volume: 370 Å³ per cell
* formation energy without anion corrections: -1.76 eV per atom

Geometry as CIF:
```
data_Ce3TmSc3Se8
_chemical_formula_sum 'Ce3 Tm1 Sc3 Se8'
_cell_length_a 7.978
_cell_length_b 7.979
_cell_length_c 8.142
_cell_angle_alpha 119.33
_cell_angle_beta 90.00
_cell_angle_gamma 120.00
_space_group_name_H-M_alt 'P 1'
_space_group_IT_number 1
_space_group_name_Hall 'P 1'
loop_
_atom_site_label
_atom_site_fract_x
_atom_site_fract_y
_atom_site_fract_z
Se1 0.741 0.483 0.724
Se2 0.749 0.498 0.267
Se3 0.269 0.018 0.267
Se4 0.251 0.982 0.733
Se5 0.251 0.502 0.733
Se6 0.749 0.018 0.267
Se7 0.731 0.982 0.733
Se8 0.259 0.517 0.276
Tm1 0.000 0.000 0.500
Ce1 0.000 0.500 0.000
Ce2 0.500 0.500 0.000
Ce3 0.000 0.000 0.000
Sc1 0.500 0.000 0.500
Sc2 0.000 0.500 0.500
Sc3 0.500 0.500 0.500
```

This record from the Alexandria database describes Ce2Tm3ScSe6 after structural relaxation. The functional is PBE.

* SG: C2/m (12)
* magnetization: 0.189 μB per atom
* VASP energy: -6.08 eV/atom
* calculated volume: 284 Å³ per cell
* formation energy without anion corrections: -1.70 eV per atom

Geometry as CIF:
```
data_Ce2Tm3ScSe6
_chemical_formula_sum 'Ce2 Tm3 Sc1 Se6'
_cell_length_a 4.029
_cell_length_b 8.198
_cell_length_c 9.097
_cell_angle_alpha 103.77
_cell_angle_beta 102.79
_cell_angle_gamma 90.00
_space_group_name_H-M_alt 'P 1'
_space_group_IT_number 1
_space_group_name_Hall 'P 1'
loop_
_atom_site_label
_atom_site_fract_x
_atom_site_fract_y
_atom_site_fract_z
Tm1 0.500 0.500 0.000
Tm2 0.830 0.166 0.661
Tm3 0.170 0.834 0.339
Se1 0.663 0.071 0.326
Se2 0.995 0.242 0.991
Se3 0.337 0.929 0.674
Se4 0.338 0.407 0.675
Se5 0.662 0.593 0.325
Se6 0.005 0.758 0.009
Sc1 0.500 0.000 0.000
Ce1 0.167 0.335 0.334
Ce2 0.833 0.665 0.666
```